[1]
{"formula": "K2SrRh", "functional": "PBE-GGA", "state": "optimized geometry", "cell": [[3.7739, 0.0000, 0.0000], [0.0000, 6.1289, 0.0000], [0.0000, 0.0000, 15.1838]], "species": ["K", "K", "K", "K", "Sr", "Sr", "Rh", "Rh"], "frac_coords": [[0.0000, 0.0000, 0.0000], [0.0000, 0.5000, 0.1582], [0.5000, 0.0000, 0.6582], [0.5000, 0.5000, 0.5000], [0.0000, 0.0000, 0.3146], [0.5000, 0.5000, 0.8146], [0.0000, 0.5000, 0.6790], [0.5000, 0.0000, 0.1790]], "formation_energy_ev_per_atom": 0.302}



[2]
{"formula": "K2SrRh", "functional": "PBE-GGA", "state": "optimized geometry", "cell": [[4.6011, 0.0000, 0.0000], [0.0000, 3.8232, 0.0000], [-2.2598, 0.0000, 9.9714]], "species": ["K", "K", "Sr", "Rh"], "frac_coords": [[0.0000, 0.0000, 0.0000], [0.3057, 0.5000, 0.6213], [0.6499, 0.5000, 0.3029], [0.1644, 0.0000, 0.3326]], "formation_energy_ev_per_atom": 0.159}



[3]
{"formula": "KSrRh2", "functional": "PBE-GGA", "state": "optimized geometry", "cell": [[4.4650, 0.0000, 0.0000], [0.0000, 4.8626, 0.0000], [0.0000, 0.0000, 10.7875]], "species": ["K", "K", "Sr", "Sr", "Rh", "Rh", "Rh", "Rh"], "frac_coords": [[0.0000, 0.0000, 0.0000], [0.0000, 0.5000, 0.5000], [0.5000, 0.0000, 0.7126], [0.5000, 0.5000, 0.2126], [0.0000, 0.0000, 0.3014], [0.0000, 0.5000, 0.8014], [0.5000, 0.0000, 0.3842], [0.5000, 0.5000, 0.8842]], "polymorph_energy_mev_per_atom": 89, "formation_energy_ev_per_atom": 0.185}



[4]
{"formula": "KSrRh2", "functional": "PBE-GGA", "state": "optimized geometry", "cell": [[7.7102, 0.0000, 0.0000], [0.0000, 4.2041, 0.0000], [-2.5155, 0.0000, 8.5952]], "species": ["K", "K", "Sr", "Sr", "Rh", "Rh", "Rh", "Rh"], "frac_coords": [[0.0000, 0.0000, 0.0000], [0.5000, 0.5000, 0.0000], [0.1651, 0.0000, 0.5054], [0.6651, 0.5000, 0.5054], [0.2510, 0.5000, 0.2789], [0.4319, 0.0000, 0.2785], [0.7510, 0.0000, 0.2789], [0.9319, 0.5000, 0.2785]], "polymorph_energy_mev_per_atom": 0, "formation_energy_ev_per_atom": 0.096}



[5]
{"formula": "K2SrRh", "functional": "PBE-GGA", "state": "optimized geometry", "cell": [[20.1136, 0.0000, 0.0000], [0.0000, 3.6559, 0.0000], [-1.1398, 0.0000, 4.6781]], "species": ["K", "K", "K", "K", "Sr", "Sr", "Rh", "Rh"], "frac_coords": [[0.1548, 0.0000, 0.1527], [0.3452, 0.5000, 0.8473], [0.6548, 0.5000, 0.1527], [0.8452, 0.0000, 0.8473], [0.0000, 0.0000, 0.5000], [0.5000, 0.5000, 0.5000], [0.0000, 0.5000, 0.0000], [0.5000, 0.0000, 0.0000]], "formation_energy_ev_per_atom": 0.176}



[6]
{"formula": "KSrRh", "functional": "PBE-GGA", "state": "optimized geometry", "cell": [[7.3624, 0.0000, 0.0000], [0.0000, 7.3624, 0.0000], [0.0000, 0.0000, 7.3624]], "species": ["K", "K", "K", "K", "Sr", "Sr", "Sr", "Sr", "Rh", "Rh", "Rh", "Rh"], "frac_coords": [[0.0000, 0.0000, 0.0000], [0.0000, 0.5000, 0.5000], [0.5000, 0.0000, 0.5000], [0.5000, 0.5000, 0.0000], [0.0000, 0.0000, 0.5000], [0.0000, 0.5000, 0.0000], [0.5000, 0.0000, 0.0000], [0.5000, 0.5000, 0.5000], [0.2500, 0.2500, 0.2500], [0.2500, 0.7500, 0.7500], [0.7500, 0.2500, 0.7500], [0.7500, 0.7500, 0.2500]], "formation_energy_ev_per_atom": 0.299}



[7]
{"formula": "K2SrRh", "functional": "PBE-GGA", "state": "optimized geometry", "cell": [[3.9886, 0.0000, 0.0000], [-1.9943, 3.4543, 0.0000], [0.0000, 0.0000, 37.3349]], "species": ["K", "K", "K", "K", "K", "K", "Sr", "Sr", "Sr", "Rh", "Rh", "Rh"], "frac_coords": [[0.0000, 0.0000, 0.2252], [0.0000, 0.0000, 0.7748], [0.3333, 0.6667, 0.4415], [0.3333, 0.6667, 0.8919], [0.6667, 0.3333, 0.1081], [0.6667, 0.3333, 0.5585], [0.0000, 0.0000, 0.0000], [0.3333, 0.6667, 0.6667], [0.6667, 0.3333, 0.3333], [0.0000, 0.0000, 0.5000], [0.3333, 0.6667, 0.1667], [0.6667, 0.3333, 0.8333]], "formation_energy_ev_per_atom": 0.680}



[8]
{"formula": "KSrRh2", "functional": "PBE-GGA", "state": "optimized geometry", "cell": [[3.2987, 0.0000, 0.0000], [0.0000, 3.7837, 0.0000], [0.0000, 0.0000, 9.2879]], "species": ["K", "Sr", "Rh", "Rh"], "frac_coords": [[0.0000, 0.0000, 0.0000], [0.5000, 0.5000, 0.5645], [0.0000, 0.0000, 0.3470], [0.5000, 0.5000, 0.2636]], "polymorph_energy_mev_per_atom": 128, "formation_energy_ev_per_atom": 0.224}